VASP calculation (GGA-PBE) on a geometry-optimized Sm2TeSeS structure.

Results
**N(E_F)**: 0.00 states/eV/f.u.
**Spin magnetization**: 0.00 μB per formula unit
**SG**: C2/m (12)
**Electronic total energy**: -5.81 eV per atom

Lattice parameters (Å, degrees): 4.4614 8.6775 8.6807 79.29 75.11 75.10
With the nearest neighbours (Å) after each atom.
Sites, in units of the cell vectors:
Sm: 0.6006 0.1581 0.6406  2 S 2.72, 1 Se 2.90
Sm: 0.8368 0.2626 0.0638  2 S 2.82, 3 Se 2.93-3.01
Sm: 0.3994 0.8419 0.3594  2 S 2.72, 1 Se 2.90
Sm: 0.1632 0.7374 0.9362  2 S 2.82, 3 Se 2.93-3.01
Te: 0.7969 0.7697 0.6364  5 Sm 3.22-3.35
Te: 0.2031 0.2303 0.3636  5 Sm 3.22-3.35
S: 0.9404 0.9337 0.1855  4 Sm 2.72-2.82
S: 0.0596 0.0663 0.8145  4 Sm 2.72-2.82
Se: 0.3709 0.3956 0.8627  4 Sm 2.90-3.01
Se: 0.6291 0.6044 0.1373  4 Sm 2.90-3.01

VASP calculation (GGA-PBE) on a geometry-optimized Sm6TeSe3S2 structure.

Results
**N(E_F)**: 5.25 states/eV/f.u.
**Spin magnetization**: 0.00 μB per formula unit
**SG**: C2/m (12)
**Electronic total energy**: -5.97 eV per atom

Lattice parameters (Å, degrees): 4.1431 8.4118 9.3181 103.17 102.85 90.00
With the nearest neighbours (Å) after each atom.
Sites, in units of the cell vectors:
Sm: 0.3252 0.8903 0.6504  2 S 2.85, 3 Se 2.91-3.07, 1 Te 3.09
Sm: 0.6706 0.5725 0.3412  3 S 2.82-2.85, 3 Se 3.02-3.06
Sm: 0.0104 0.2733 0.0209  1 S 2.82, 3 Se 2.85-3.03, 2 Te 3.07
Sm: 0.3294 0.4275 0.6588  3 S 2.82-2.85, 3 Se 3.02-3.06
Sm: 0.9896 0.7267 0.9791  1 S 2.82, 3 Se 2.85-3.03, 2 Te 3.07
Sm: 0.6748 0.1097 0.3496  2 S 2.85, 3 Se 2.91-3.07, 1 Te 3.09
Te: 0.5000 0.0000 0.0000  6 Sm 3.07-3.09
Se: 0.1610 0.8348 0.3219  6 Sm 2.91-3.07
Se: 0.8390 0.1652 0.6781  6 Sm 2.91-3.07
Se: 0.5000 0.5000 0.0000  6 Sm 2.85-3.02
S: 0.1700 0.3390 0.3399  6 Sm 2.82-2.85
S: 0.8300 0.6610 0.6601  6 Sm 2.82-2.85

Per-record density, g/cm³: 5.8 7.2
Per-record formation energy without anion corrections, meV/atom: -1770 -1791